1:
! CsSiBr (PBE, relaxed); values from VASP
&SYSTEM
  ibrav = 0, nat = 12, ntyp = 3
/
ATOMIC_SPECIES
Cs 132.91 Cs.upf
Si 28.09 Si.upf
Br 79.90 Br.upf
ATOMIC_POSITIONS angstrom
Cs -0.8794 -3.2191 -0.2616
Cs -6.1255 -1.2958 0.3525
Cs -4.8401 -3.3599 3.7324
Cs 0.4059 -5.2832 3.1182
Si -10.0471 -1.4148 4.3198
Si -11.5122 -1.4458 2.2934
Si -10.2269 -3.5099 5.6732
Si -9.9292 -5.5767 4.2972
Br -7.6687 -1.3508 3.4642
Br -2.9271 -1.2100 1.7504
Br -7.5508 -5.5127 3.4416
Br -2.8092 -5.3719 1.7279
CELL_PARAMETERS angstrom
-12.9408 -0.3902 4.6808
-1.1674 -2.0978 -3.4024
1.4033 -6.2260 3.3573
! SG: Cm (8)
! Crystal system: monoclinic

2:
! CsSiBr (PBE, relaxed); values from VASP
&SYSTEM
  ibrav = 0, nat = 18, ntyp = 3
/
ATOMIC_SPECIES
Cs 132.91 Cs.upf
Br 79.90 Br.upf
Si 28.09 Si.upf
ATOMIC_POSITIONS angstrom
Cs 0.0000 0.0000 37.8017
Cs 0.0000 2.4012 23.8908
Cs 2.0795 1.2006 4.8737
Cs 2.0795 1.2006 9.9797
Cs 0.0000 0.0000 32.6957
Cs 0.0000 2.4012 18.7847
Br 0.0000 2.4012 7.4321
Br 0.0000 2.4012 30.1899
Br 0.0000 0.0000 2.3679
Br 2.0795 1.2006 35.2541
Br 0.0000 0.0000 21.3431
Br 2.0795 1.2006 16.2789
Si 0.0000 0.0000 13.0466
Si 0.0000 0.0000 41.5832
Si 2.0795 1.2006 26.9576
Si 0.0000 2.4012 40.8686
Si 2.0795 1.2006 13.7612
Si 0.0000 2.4012 27.6722
CELL_PARAMETERS angstrom
4.1590 0.0000 0.0000
-2.0795 3.6018 0.0000
0.0000 0.0000 41.7330
! SG: R3m (160)
! Crystal system: trigonal

3:
! CsSiBr (PBE, relaxed); values from VASP
&SYSTEM
  ibrav = 0, nat = 12, ntyp = 3
/
ATOMIC_SPECIES
Si 28.09 Si.upf
Br 79.90 Br.upf
Cs 132.91 Cs.upf
ATOMIC_POSITIONS angstrom
Si 0.2482 2.0102 19.2262
Si 0.7276 2.0102 6.9719
Si 1.4506 0.0000 7.8380
Si -0.4748 0.0000 18.3601
Br 4.7825 2.0102 4.8838
Br 2.2455 2.0102 0.6844
Br 1.0431 0.0000 12.0726
Br 3.5801 0.0000 16.2719
Cs 2.5275 0.0000 21.7902
Cs 3.7299 2.0102 10.4020
Cs 2.1144 0.0000 3.5801
Cs 0.9120 2.0102 14.9682
CELL_PARAMETERS angstrom
5.3565 0.0000 0.0007
0.0000 4.0205 0.0000
-2.4047 0.0000 22.7763
! SG: Cm (8)
! Crystal system: monoclinic

4:
! CsSiBr (PBE, relaxed); values from VASP
&SYSTEM
  ibrav = 0, nat = 12, ntyp = 3
/
ATOMIC_SPECIES
Br 79.90 Br.upf
Cs 132.91 Cs.upf
Si 28.09 Si.upf
ATOMIC_POSITIONS angstrom
Br 0.8277 0.0000 19.3130
Br 0.8280 0.0000 23.4418
Br 1.7977 1.9963 7.1168
Br 1.7981 1.9963 11.2456
Cs 0.4386 1.9963 1.3150
Cs -1.5109 1.9963 21.3289
Cs -0.5408 0.0000 9.1327
Cs -0.5315 0.0000 13.5112
Si 1.4474 0.0000 16.9622
Si 2.4175 1.9963 4.7660
Si 2.9054 0.0000 3.7468
Si 1.9354 1.9963 15.9431
CELL_PARAMETERS angstrom
4.6688 0.0000 -0.0023
0.0000 3.9927 0.0000
-1.9401 0.0000 24.3925
! SG: Cm (8)
! Crystal system: monoclinic

Most stable structure - 1; separation to the second - 1.4 kJ/mol of atoms.